1.
Here is KTlNF2 at its PBEsol-relaxed geometry from the Alexandria database. Energies are from SCAN.

Computed properties:
The value obtained for the size of the total moment is 0.61 μB per atom. The polymorph energy (0 for the lowest one) is 0.4377 eV/atom. The value obtained for the formation energy without anion corrections is -0.550 eV/atom.

```
data_KTlNF2
_cell_length_a 4.8523
_cell_length_b 4.8523
_cell_length_c 4.9152
_cell_angle_alpha 90.00
_cell_angle_beta 90.00
_cell_angle_gamma 90.00
_space_group_name_H-M_alt 'P 4/m m m'
_space_group_IT_number 123
_space_group_name_Hall '-P 4 2'
loop_
_atom_site_label
_atom_site_type_symbol
_atom_site_fract_x
_atom_site_fract_y
_atom_site_fract_z
K1 K 0.0000 0.0000 0.0000
Tl1 Tl 0.5000 0.5000 0.5000
N1 N 0.0000 0.0000 0.5000
F1 F 0.0000 0.5000 0.0000
```

2.
Here is KTlNF2 at its PBEsol-relaxed geometry from the Alexandria database. Energies are from SCAN.

Computed properties:
The value obtained for the size of the total moment is 0.20 μB per atom. The polymorph energy (0 for the lowest one) is 0.0000 eV/atom. The value obtained for the formation energy without anion corrections is -0.988 eV/atom.

```
data_KTlNF2
_cell_length_a 4.6949
_cell_length_b 4.6949
_cell_length_c 4.0390
_cell_angle_alpha 90.00
_cell_angle_beta 90.00
_cell_angle_gamma 90.00
_space_group_name_H-M_alt 'P 4/m m m'
_space_group_IT_number 123
_space_group_name_Hall '-P 4 2'
loop_
_atom_site_label
_atom_site_type_symbol
_atom_site_fract_x
_atom_site_fract_y
_atom_site_fract_z
K1 K 0.0000 0.0000 0.0000
Tl1 Tl 0.5000 0.5000 0.5000
N1 N 0.5000 0.5000 0.0000
F1 F 0.0000 0.5000 0.5000
```